Tb12Al3Cd | the Alexandria database | GGA-PBE | relaxed; formation energy from the elements = -0.160 eV per atom; crystal system = tetragonal; mass density = 7.90 g cm⁻³; total moment = 0.002 μB/cell
1.0
4.7958 0.0000 0.0000
0.0000 4.7958 0.0000
0.0000 0.0000 19.1965
Tb Al Cd
12 3 1
direct
0.0000 0.0000 0.0000
0.0000 0.0000 0.2483
0.0000 0.0000 0.5000
0.0000 0.0000 0.7517
0.0000 0.5000 0.1241
0.0000 0.5000 0.3706
0.0000 0.5000 0.6294
0.0000 0.5000 0.8759
0.5000 0.0000 0.1241
0.5000 0.0000 0.3706
0.5000 0.0000 0.6294
0.5000 0.0000 0.8759
0.5000 0.5000 0.0000
0.5000 0.5000 0.2484
0.5000 0.5000 0.7516
0.5000 0.5000 0.5000